No. 1
Nd3Mg3Tl2Au after structural relaxation. Source: OQMD via LeMat-Bulk, functional PBE-GGA.

Geometry as CIF:
```
data_Nd3Mg3Tl2Au
_chemical_formula_sum 'Nd3 Mg3 Tl2 Au1'
_cell_length_a 7.6822
_cell_length_b 7.6822
_cell_length_c 4.6286
_cell_angle_alpha 90.00
_cell_angle_beta 90.00
_cell_angle_gamma 120.00
_symmetry_space_group_name_H-M 'P 1'
_symmetry_Int_Tables_number 1
_symmetry_space_group_name_Hall 'P 1'
loop_
_atom_site_label
_atom_site_type_symbol
_atom_site_fract_x
_atom_site_fract_y
_atom_site_fract_z
Nd1 Nd 0.0000 0.4068 0.0000
Nd2 Nd 0.4068 0.0000 0.0000
Nd3 Nd 0.5932 0.5932 0.0000
Au1 Au 0.0000 0.0000 0.0000
Tl1 Tl 0.6667 0.3333 0.5000
Tl2 Tl 0.3333 0.6667 0.5000
Mg1 Mg 0.0000 0.7670 0.5000
Mg2 Mg 0.2330 0.2330 0.5000
Mg3 Mg 0.7670 0.0000 0.5000
```

Values from the calculation:
Size of the total moment ... 0.00 μB per formula unit
E_tot ... -3.4620 eV/atom
Space group ... No. 189

---

No. 2
Nd3Mg3TlAu2 after structural relaxation. Source: OQMD via LeMat-Bulk, functional PBE-GGA.

Geometry as CIF:
```
data_Nd3Mg3TlAu2
_chemical_formula_sum 'Nd3 Mg3 Tl1 Au2'
_cell_length_a 7.5965
_cell_length_b 7.5965
_cell_length_c 4.5552
_cell_angle_alpha 90.00
_cell_angle_beta 90.00
_cell_angle_gamma 120.00
_symmetry_space_group_name_H-M 'P 1'
_symmetry_Int_Tables_number 1
_symmetry_space_group_name_Hall 'P 1'
loop_
_atom_site_label
_atom_site_type_symbol
_atom_site_fract_x
_atom_site_fract_y
_atom_site_fract_z
Au1 Au 0.6667 0.3333 0.0000
Au2 Au 0.3333 0.6667 0.0000
Mg1 Mg 0.0000 0.7491 0.0000
Mg2 Mg 0.7491 0.0000 0.0000
Mg3 Mg 0.2509 0.2509 0.0000
Nd1 Nd 0.5747 0.5747 0.5000
Nd2 Nd 0.0000 0.4253 0.5000
Nd3 Nd 0.4253 0.0000 0.5000
Tl1 Tl 0.0000 0.0000 0.5000
```

Values from the calculation:
Size of the total moment ... 0.01 μB per formula unit
E_tot ... -3.6065 eV/atom
Space group ... No. 189

---

No. 3
NdTmMg2Au4 after structural relaxation. Source: OQMD via LeMat-Bulk, functional PBE-GGA.

Geometry as CIF:
```
data_NdTmMg2Au4
_chemical_formula_sum 'Nd1 Tm1 Mg2 Au4'
_cell_length_a 4.9289
_cell_length_b 4.9289
_cell_length_c 6.9732
_cell_angle_alpha 90.00
_cell_angle_beta 90.00
_cell_angle_gamma 90.00
_symmetry_space_group_name_H-M 'P 1'
_symmetry_Int_Tables_number 1
_symmetry_space_group_name_Hall 'P 1'
loop_
_atom_site_label
_atom_site_type_symbol
_atom_site_fract_x
_atom_site_fract_y
_atom_site_fract_z
Nd1 Nd 0.0000 0.0000 0.0000
Tm1 Tm 0.5000 0.5000 0.5000
Au1 Au 0.5000 0.0000 0.7365
Au2 Au 0.5000 0.0000 0.2635
Au3 Au 0.0000 0.5000 0.7365
Au4 Au 0.0000 0.5000 0.2635
Mg1 Mg 0.5000 0.5000 0.0000
Mg2 Mg 0.0000 0.0000 0.5000
```

Values from the calculation:
Size of the total moment ... 0.00 μB per formula unit
E_tot ... -3.9337 eV/atom
Space group ... No. 123

---

No. 4
NdYMg2Au4 after structural relaxation. Source: OQMD via LeMat-Bulk, functional PBE-GGA.

Geometry as CIF:
```
data_NdYMg2Au4
_chemical_formula_sum 'Nd1 Y1 Mg2 Au4'
_cell_length_a 4.9556
_cell_length_b 4.9556
_cell_length_c 6.9966
_cell_angle_alpha 90.00
_cell_angle_beta 90.00
_cell_angle_gamma 90.00
_symmetry_space_group_name_H-M 'P 1'
_symmetry_Int_Tables_number 1
_symmetry_space_group_name_Hall 'P 1'
loop_
_atom_site_label
_atom_site_type_symbol
_atom_site_fract_x
_atom_site_fract_y
_atom_site_fract_z
Mg1 Mg 0.0000 0.0000 0.5000
Mg2 Mg 0.5000 0.5000 0.0000
Au1 Au 0.5000 0.0000 0.2589
Au2 Au 0.5000 0.0000 0.7410
Au3 Au 0.0000 0.5000 0.7410
Au4 Au 0.0000 0.5000 0.2589
Nd1 Nd 0.0000 0.0000 0.0000
Y1 Y 0.5000 0.5000 0.5000
```

Values from the calculation:
Size of the total moment ... 0.01 μB per formula unit
E_tot ... -4.1788 eV/atom
Space group ... No. 123

---

No. 5
MgNiAu after structural relaxation. Source: OQMD via LeMat-Bulk, functional PBE-GGA.

Geometry as CIF:
```
data_MgNiAu
_chemical_formula_sum 'Mg2 Ni2 Au2'
_cell_length_a 4.8072
_cell_length_b 4.8072
_cell_length_c 5.5087
_cell_angle_alpha 104.86
_cell_angle_beta 104.86
_cell_angle_gamma 48.99
_symmetry_space_group_name_H-M 'P 1'
_symmetry_Int_Tables_number 1
_symmetry_space_group_name_Hall 'P 1'
loop_
_atom_site_label
_atom_site_type_symbol
_atom_site_fract_x
_atom_site_fract_y
_atom_site_fract_z
Au1 Au 0.9135 0.9135 0.3952
Au2 Au 0.2485 0.2485 0.6052
Mg1 Mg 0.2534 0.2534 0.1000
Mg2 Mg 0.5717 0.5717 0.7396
Ni1 Ni 0.9227 0.9227 0.9210
Ni2 Ni 0.5795 0.5795 0.2300
```

Values from the calculation:
Size of the total moment ... 0.00 μB per formula unit
E_tot ... -3.7419 eV/atom
Space group ... No. 8
Offset from the most stable computed form ... 0.0 meV/atom

---

No. 6
MgNiPbAu after structural relaxation. Source: OQMD via LeMat-Bulk, functional PBE-GGA.

Geometry as CIF:
```
data_MgNiPbAu
_chemical_formula_sum 'Mg1 Ni1 Pb1 Au1'
_cell_length_a 4.6846
_cell_length_b 4.6846
_cell_length_c 4.6846
_cell_angle_alpha 60.00
_cell_angle_beta 60.00
_cell_angle_gamma 60.00
_symmetry_space_group_name_H-M 'P 1'
_symmetry_Int_Tables_number 1
_symmetry_space_group_name_Hall 'P 1'
loop_
_atom_site_label
_atom_site_type_symbol
_atom_site_fract_x
_atom_site_fract_y
_atom_site_fract_z
Au1 Au 0.5000 0.5000 0.5000
Mg1 Mg 0.2500 0.2500 0.2500
Ni1 Ni 0.7500 0.7500 0.7500
Pb1 Pb 0.0000 0.0000 0.0000
```

Values from the calculation:
Size of the total moment ... 0.00 μB per formula unit
E_tot ... -3.5549 eV/atom
Space group ... No. 216